Record 1
A relaxed HfTiIn2I crystal, computed with PBE-GGA.

Structure (POSCAR):
```
HfTiIn2I
1.0
5.686 0.000 0.000
0.000 4.923 0.000
0.000 0.000 5.686
I Ti Hf In
1 1 1 2
Direct
0.000 0.000 0.000 I
0.000 0.500 0.000 Ti
0.500 0.500 0.500 Hf
0.000 0.000 0.500 In
0.500 0.000 0.000 In
```

Output
As for the space group: P4/mmm, No. 123. The value obtained for the magnetic moment is 0.182 μB per atom. The calculated volume is 31.8 A^3/atom.

Record 2
A relaxed Hf2InWI crystal, computed with PBE-GGA.

Structure (POSCAR):
```
Hf2InWI
1.0
5.124 0.000 0.000
0.000 5.379 0.000
0.000 0.000 5.124
I Hf W In
1 2 1 1
Direct
0.500 0.500 0.500 I
0.000 0.000 0.500 Hf
0.500 0.000 0.000 Hf
0.000 0.000 0.000 W
0.000 0.500 0.000 In
```

Output
As for the space group: P4/mmm, No. 123. The value obtained for the magnetic moment is 0.000 μB per atom. The calculated volume is 28.2 A^3/atom.

Record 3
A relaxed Hf2IrI crystal, computed with PBE-GGA.

Structure (POSCAR):
```
Hf2IrI
1.0
-0.316 6.114 0.846
-5.814 -0.579 2.017
-0.880 2.038 7.520
I Ir Hf
2 2 4
Direct
0.500 0.500 0.000 I
0.250 0.750 0.500 I
0.000 0.000 0.000 Ir
0.750 0.250 0.500 Ir
0.694 0.125 0.250 Hf
0.056 0.625 0.250 Hf
0.375 0.306 0.750 Hf
0.875 0.944 0.750 Hf
```

Output
As for the space group: I-42d, No. 122. The value obtained for the magnetic moment is 0.000 μB per atom. Its energy above the most stable polymorph in this dataset is 0.231 eV/atom. The calculated volume is 31.1 A^3/atom.

It is found that the raw formation energy values, taken in the order of the records, are 1.28, 0.81, 0.25 eV per atom.